Entry 1:
VASP calculation (PBE-GGA) on a geometry-optimized LaSmGaPt structure.

## Properties
**DOS at the Fermi energy**: 3.6 states/eV/cell
**ΔE to the lowest computed polymorph**: 0.00 kJ/mol of atoms
**Total magnetization**: 0.000 μB per atom
**Volume**: 25.579 Å³/atom

abc: 4.2700 4.4731 5.7665
angles: 90.00 111.73 90.00
Last column: nearest neighbours and their distance in Å.
Fractional positions:
Pt: 0.4250 0.0000 0.8501  2 Ga 2.72, 1 La 3.00
Sm: 0.8614 0.5000 0.7227  3 Ga 3.08-3.13, 4 Pt 3.17
Ga: 0.5689 0.5000 0.1377  2 Pt 2.72
La: 0.1448 0.0000 0.2895  3 Pt 3.00-3.18, 4 Ga 3.20

=====

Entry 2:
VASP calculation (PBE-GGA) on a geometry-optimized KCoNiS3 structure.

## Properties
**DOS at the Fermi energy**: 10.3 states/eV/cell
**Total magnetization**: 0.001 μB per atom
**Volume**: 18.420 Å³/atom
**E_form (uncorrected)**: -496 meV per atom

abc: 6.1174 6.1258 6.6462
angles: 117.44 90.00 90.00
Last column: nearest neighbours and their distance in Å.
Fractional positions:
Ni: 0.2500 0.4284 0.8567  5 S 2.17-2.35
Ni: 0.7500 0.5716 0.1433  5 S 2.17-2.35
K: 0.7500 0.2511 0.5021  4 S 3.06
K: 0.2500 0.7489 0.4979  4 S 3.06
S: 0.5000 0.7562 0.0000  2 Co 2.26, 2 Ni 2.35
S: 0.2500 0.2446 0.4891  1 Co 2.15, 1 Ni 2.17
S: 0.7500 0.7554 0.5109  1 Co 2.15, 1 Ni 2.17
Co: 0.7500 0.9373 0.8747  5 S 2.15-2.26
S: 0.5000 0.2438 0.0000  2 Co 2.26, 2 Ni 2.35
S: 0.0000 0.2438 0.0000  2 Co 2.26, 2 Ni 2.35
S: 0.0000 0.7562 0.0000  2 Co 2.26, 2 Ni 2.35
Co: 0.2500 0.0627 0.1253  5 S 2.15-2.26